The following is a DFT calculation (meta-GGA SCAN) of a PBEsol-optimized structure of CrFeBr2.

symmetry: Fm-3m (225)
formation energy (no corrections): 3.4 kcal/mol of atoms

Unit cell a=4.6921 b=4.6921 c=4.6921 alpha=60.00 beta=60.00 gamma=60.00
With the nearest neighbours (Å) after each atom.
Element x y z (fractional)
Br (0.2500, 0.2500, 0.2500)  4 Cr 2.87, 4 Fe 2.87
Br (0.7500, 0.7500, 0.7500)  4 Fe 2.87, 4 Cr 2.87
Cr (0.0000, 0.0000, 0.0000)  8 Br 2.87
Fe (0.5000, 0.5000, 0.5000)  8 Br 2.87

The following is a DFT calculation (meta-GGA SCAN) of a PBEsol-optimized structure of Co3Os.

ΔH_f (0 K): 0.7 eV per formula unit
symmetry: Pmm2 (25)

Unit cell a=2.5427 b=4.0218 c=4.3815 alpha=90.00 beta=90.00 gamma=90.00
With the nearest neighbours (Å) after each atom.
Element x y z (fractional)
Os (0.0000, 0.5000, 0.3322)  10 Co 2.50-2.54, 2 Os 2.54
Co (0.0000, 0.0000, 0.9913)  10 Co 2.47-2.60, 2 Os 2.50
Co (0.5000, 0.0000, 0.5080)  8 Co 2.47-2.60, 4 Os 2.50
Co (0.5000, 0.5000, 0.8352)  8 Co 2.47-2.54, 4 Os 2.52-2.54

The following is a DFT calculation (meta-GGA SCAN) of a PBEsol-optimized structure of CaLaAu2.

ΔH_f (0 K): -4.1 eV per formula unit
symmetry: Amm2 (38)

Unit cell a=3.9404 b=4.7018 c=5.8268 alpha=90.00 beta=109.76 gamma=90.00
With the nearest neighbours (Å) after each atom.
Element x y z (fractional)
Ca (0.4872, 0.0000, 0.9744)  7 Au 3.05-3.13
Au (0.0421, 0.5000, 0.0841)  2 Au 2.98, 3 La 3.07-3.11, 4 Ca 3.13
Au (0.2087, 0.0000, 0.4175)  2 Au 2.98, 3 Ca 3.05-3.13, 4 La 3.12
La (0.7620, 0.5000, 0.5240)  7 Au 3.07-3.12

The following is a DFT calculation (meta-GGA SCAN) of a PBEsol-optimized structure of BaNbSn3.

ΔH_f (0 K): 8.7 eV per formula unit
symmetry: Pm-3m (221)

Unit cell a=5.8076 b=5.8076 c=5.8076 alpha=90.00 beta=90.00 gamma=90.00
With the nearest neighbours (Å) after each atom.
Element x y z (fractional)
Nb (0.5000, 0.5000, 0.5000)  12 Sn 4.11
Ba (0.0000, 0.0000, 0.0000)  6 Sn 2.90
Sn (0.0000, 0.5000, 0.0000)  2 Ba 2.90
Sn (0.0000, 0.0000, 0.5000)  2 Ba 2.90
Sn (0.5000, 0.0000, 0.0000)  2 Ba 2.90

The following is a DFT calculation (meta-GGA SCAN) of a PBEsol-optimized structure of MnCoSi2.

symmetry: Fm-3m (225)
formation energy (no corrections): -10.7 kcal/mol of atoms

Unit cell a=3.8878 b=3.8878 c=3.8878 alpha=60.00 beta=60.00 gamma=60.00
With the nearest neighbours (Å) after each atom.
Element x y z (fractional)
Si (0.7500, 0.7500, 0.7500)  4 Co 2.38, 4 Mn 2.38
Si (0.2500, 0.2500, 0.2500)  4 Mn 2.38, 4 Co 2.38
Mn (0.5000, 0.5000, 0.5000)  8 Si 2.38
Co (0.0000, 0.0000, 0.0000)  8 Si 2.38

The following is a DFT calculation (meta-GGA SCAN) of a PBEsol-optimized structure of MnZnCo2.

ΔH_f (0 K): -0.3 eV per formula unit
symmetry: I-4m2 (119)

Unit cell a=3.4724 b=3.4724 c=4.4060 alpha=113.21 beta=113.21 gamma=90.00
With the nearest neighbours (Å) after each atom.
Element x y z (fractional)
Zn (0.2500, 0.7500, 0.5000)  8 Co 2.46-2.52, 4 Mn 2.52
Mn (0.5000, 0.5000, 0.0000)  8 Co 2.46-2.52, 4 Zn 2.52
Co (0.0000, 0.0000, 0.0000)  4 Mn 2.46, 4 Zn 2.52, 4 Co 2.52
Co (0.7500, 0.2500, 0.5000)  4 Zn 2.46, 4 Mn 2.52, 4 Co 2.52

The following is a DFT calculation (meta-GGA SCAN) of a PBEsol-optimized structure of Ir2PbCl2.

symmetry: I4/mmm (139)
formation energy (no corrections): 6.5 kcal/mol of atoms

Unit cell a=3.4649 b=3.4649 c=10.4830 alpha=99.51 beta=99.51 gamma=90.00
With the nearest neighbours (Å) after each atom.
Element x y z (fractional)
Pb (0.0000, 0.0000, 0.0000)  8 Cl 2.97
Ir (0.2500, 0.7500, 0.5000)  4 Ir 2.45
Ir (0.7500, 0.2500, 0.5000)  4 Ir 2.45
Cl (0.4178, 0.4178, 0.8356)  4 Pb 2.97
Cl (0.5822, 0.5822, 0.1644)  4 Pb 2.97

The following is a DFT calculation (meta-GGA SCAN) of a PBEsol-optimized structure of YRe2Te.

symmetry: I-4m2 (119)
formation energy (no corrections): 12.9 kcal/mol of atoms

Unit cell a=4.0632 b=4.0632 c=5.2575 alpha=112.73 beta=112.73 gamma=90.00
With the nearest neighbours (Å) after each atom.
Element x y z (fractional)
Re (0.0000, 0.0000, 0.0000)  4 Te 2.87, 4 Re 3.00, 4 Y 3.00
Re (0.7500, 0.2500, 0.5000)  4 Y 2.87, 4 Re 3.00, 4 Te 3.00
Te (0.5000, 0.5000, 0.0000)  8 Re 2.87-3.00, 4 Y 3.00
Y (0.2500, 0.7500, 0.5000)  8 Re 2.87-3.00, 4 Te 3.00

The following is a DFT calculation (meta-GGA SCAN) of a PBEsol-optimized structure of Sm2TlAg.

ΔH_f (0 K): -2.0 eV per formula unit
symmetry: Fm-3m (225)

Unit cell a=5.2680 b=5.2680 c=5.2680 alpha=60.00 beta=60.00 gamma=60.00
With the nearest neighbours (Å) after each atom.
Element x y z (fractional)
Tl (0.0000, 0.0000, 0.0000)  8 Sm 3.23
Sm (0.2500, 0.2500, 0.2500)  4 Tl 3.23, 4 Ag 3.23
Sm (0.7500, 0.7500, 0.7500)  4 Ag 3.23, 4 Tl 3.23
Ag (0.5000, 0.5000, 0.5000)  8 Sm 3.23

The following is a DFT calculation (meta-GGA SCAN) of a PBEsol-optimized structure of K2CaOs.

ΔH_f (0 K): 5.1 eV per formula unit
symmetry: P4/mmm (123)

Unit cell a=2.9993 b=2.9993 c=12.6463 alpha=90.00 beta=90.00 gamma=90.00
With the nearest neighbours (Å) after each atom.
Element x y z (fractional)
Ca (0.5000, 0.5000, 0.5000)  4 Ca 3.00
K (0.0000, 0.0000, 0.8012)  4 K 3.00, 4 Os 3.29
K (0.0000, 0.0000, 0.1988)  4 K 3.00, 4 Os 3.29
Os (0.5000, 0.5000, 0.0000)  4 Os 3.00, 8 K 3.29

The following is a DFT calculation (meta-GGA SCAN) of a PBEsol-optimized structure of LaH6C2SNO9.

symmetry: P2_1/c (14)

Unit cell a=6.7008 b=8.9002 c=13.8092 alpha=90.00 beta=95.24 gamma=90.00
With the nearest neighbours (Å) after each atom.
Element x y z (fractional)
La (0.2429, 0.2487, 0.9150)  8 O 2.42-2.56
La (0.7429, 0.2513, 0.4150)  8 O 2.42-2.56
La (0.7571, 0.7513, 0.0850)  8 O 2.42-2.56
La (0.2571, 0.7487, 0.5850)  8 O 2.42-2.56
H (0.0850, 0.3428, 0.1728)  1 N 1.06
H (0.5850, 0.1572, 0.6728)  1 N 1.06
H (0.9150, 0.6572, 0.8272)  1 N 1.06
H (0.4150, 0.8428, 0.3272)  1 N 1.06
H (0.2815, 0.4253, 0.1255)  1 N 1.04
H (0.7815, 0.0747, 0.6255)  1 N 1.04
H (0.7185, 0.5747, 0.8745)  1 N 1.04
H (0.2185, 0.9253, 0.3745)  1 N 1.04
H (0.2730, 0.4303, 0.2470)  1 N 1.03
H (0.7730, 0.0697, 0.7470)  1 N 1.03
H (0.7270, 0.5697, 0.7530)  1 N 1.03
H (0.2270, 0.9303, 0.2530)  1 N 1.03
H (0.3524, 0.0328, 0.0903)  1 O 1.01
H (0.8524, 0.4672, 0.5903)  1 O 1.01
H (0.6476, 0.9672, 0.9097)  1 O 1.01
H (0.1476, 0.5328, 0.4097)  1 O 1.01
H (0.1149, 0.0446, 0.0901)  1 O 0.99
H (0.6149, 0.4554, 0.5901)  1 O 0.99
H (0.8851, 0.9554, 0.9099)  1 O 0.99
H (0.3851, 0.5446, 0.4099)  1 O 0.99
H (0.3227, 0.2674, 0.1953)  1 N 1.04
H (0.8227, 0.2326, 0.6953)  1 N 1.04
H (0.6773, 0.7326, 0.8047)  1 N 1.04
H (0.1773, 0.7674, 0.3047)  1 N 1.04
C (0.3641, 0.9470, 0.7877)  2 O 1.26-1.27
C (0.8641, 0.5530, 0.2877)  2 O 1.26-1.27
C (0.6359, 0.0530, 0.2123)  2 O 1.26-1.27
C (0.1359, 0.4470, 0.7123)  2 O 1.26-1.27
C (0.1342, 0.9534, 0.7710)  2 O 1.25-1.28
C (0.6342, 0.5466, 0.2710)  2 O 1.25-1.28
C (0.8658, 0.0466, 0.2290)  2 O 1.25-1.28
C (0.3658, 0.4534, 0.7290)  2 O 1.25-1.28
S (0.7651, 0.3412, 0.0284)  4 O 1.47-1.50
S (0.2651, 0.1588, 0.5284)  4 O 1.47-1.50
S (0.2349, 0.6588, 0.9716)  4 O 1.47-1.50
S (0.7349, 0.8412, 0.4716)  4 O 1.47-1.50
N (0.2398, 0.3656, 0.1857)  4 H 1.03-1.06
N (0.7398, 0.1344, 0.6857)  4 H 1.03-1.06
N (0.7602, 0.6344, 0.8143)  4 H 1.03-1.06
N (0.2602, 0.8656, 0.3143)  4 H 1.03-1.06
O (0.5679, 0.2663, 0.0089)  1 S 1.48
O (0.0679, 0.2337, 0.5089)  1 S 1.48
O (0.4321, 0.7337, 0.9911)  1 S 1.48
O (0.9321, 0.7663, 0.4911)  1 S 1.48
O (0.9083, 0.2727, 0.9653)  1 S 1.48
O (0.4083, 0.2273, 0.4653)  1 S 1.48
O (0.0917, 0.7273, 0.0347)  1 S 1.48
O (0.5917, 0.7727, 0.5347)  1 S 1.48
O (0.0461, 0.0336, 0.8308)  1 C 1.28
O (0.5461, 0.4664, 0.3308)  1 C 1.28
O (0.9539, 0.9664, 0.1692)  1 C 1.28
O (0.4539, 0.5336, 0.6692)  1 C 1.28
O (0.2310, 0.0878, 0.0599)  2 H 0.99-1.01
O (0.7310, 0.4122, 0.5599)  2 H 0.99-1.01
O (0.7690, 0.9122, 0.9401)  2 H 0.99-1.01
O (0.2690, 0.5878, 0.4401)  2 H 0.99-1.01
O (0.4458, 0.0358, 0.8516)  1 C 1.27
O (0.9458, 0.4642, 0.3516)  1 C 1.27
O (0.5542, 0.9642, 0.1484)  1 C 1.27
O (0.0542, 0.5358, 0.6484)  1 C 1.27
O (0.0454, 0.3559, 0.7627)  1 C 1.26
O (0.5454, 0.1441, 0.2627)  1 C 1.26
O (0.9546, 0.6441, 0.2373)  1 C 1.26
O (0.4546, 0.8559, 0.7373)  1 C 1.26
O (0.2562, 0.4953, 0.9970)  1 S 1.50
O (0.7562, 0.0047, 0.4970)  1 S 1.50
O (0.7438, 0.5047, 0.0030)  1 S 1.50
O (0.2438, 0.9953, 0.5030)  1 S 1.50
O (0.4499, 0.3827, 0.8000)  1 C 1.25
O (0.9499, 0.1173, 0.3000)  1 C 1.25
O (0.5501, 0.6173, 0.2000)  1 C 1.25
O (0.0501, 0.8827, 0.7000)  1 C 1.25
O (0.8362, 0.3254, 0.1321)  1 S 1.47
O (0.3362, 0.1746, 0.6321)  1 S 1.47
O (0.1638, 0.6746, 0.8679)  1 S 1.47
O (0.6638, 0.8254, 0.3679)  1 S 1.47

The following is a DFT calculation (meta-GGA SCAN) of a PBEsol-optimized structure of HfZrB2Ru.

ΔH_f (0 K): 9.7 eV per formula unit
symmetry: P4/mmm (123)

Unit cell a=4.1776 b=4.1776 c=5.0817 alpha=90.00 beta=90.00 gamma=90.00
With the nearest neighbours (Å) after each atom.
Element x y z (fractional)
Ru (0.5000, 0.5000, 0.5000)  4 Zr 2.95, 8 B 3.29
B (0.0000, 0.5000, 0.0000)  2 Hf 2.09
B (0.5000, 0.0000, 0.0000)  2 Hf 2.09
Hf (0.0000, 0.0000, 0.0000)  4 B 2.09
Zr (0.0000, 0.0000, 0.5000)  2 Hf 2.54

Number 1: DFT total energy -74.85 eV per cell. Number 2: DFT total energy -123.05 eV per cell. Number 3: DFT total energy -195.18 eV per cell. Number 4: DFT total energy -171.77 eV per cell. Number 5: DFT total energy -57.45 eV per cell. Number 6: DFT total energy -66.64 eV per cell. Number 7: DFT total energy -232.53 eV per cell. Number 8: DFT total energy -205.05 eV per cell. Number 9: DFT total energy -194.56 eV per cell. Number 10: DFT total energy -93.12 eV per cell. Number 11: DFT total energy -757.41 eV per cell. Number 12: DFT total energy -133.37 eV per cell.